Entry 1:
This record from Alexandria describes Sr6As3O2 after structural relaxation. The functional is GGA-PBE.

Computed properties:
- SG: I4/mmm (139)
- E_tot: -4.753 eV per atom
- ΔE_f (raw): -1.67 eV/atom

The structure in CIF format:
```
data_Sr6As3O2
_chemical_formula_sum 'Sr6 As3 O2'
_cell_length_a 4.928
_cell_length_b 4.928
_cell_length_c 12.994
_cell_angle_alpha 100.93
_cell_angle_beta 100.93
_cell_angle_gamma 90.00
_space_group_name_H-M_alt 'P 1'
_space_group_IT_number 1
loop_
_space_group_symop_operation_xyz
'x,y,z'
loop_
_atom_site_label
_atom_site_fract_x
_atom_site_fract_y
_atom_site_fract_z
_atom_site_occupancy
Sr1 0.917 0.417 0.834 1
Sr2 0.698 0.698 0.396 1
Sr3 0.583 0.083 0.166 1
Sr4 0.302 0.302 0.604 1
Sr5 0.083 0.583 0.166 1
Sr6 0.417 0.917 0.834 1
As1 0.000 0.000 0.000 1
As2 0.174 0.174 0.348 1
As3 0.826 0.826 0.652 1
O1 0.398 0.398 0.796 1
O2 0.602 0.602 0.204 1
```

Entry 2:
This record from Alexandria describes Rb3Dy2InSe6 after structural relaxation. The functional is GGA-PBE.

Computed properties:
- SG: C2/m (12)
- E_tot: -4.392 eV per atom
- ΔE_f (raw): -1.41 eV/atom

The structure in CIF format:
```
data_Rb3Dy2InSe6
_chemical_formula_sum 'Rb3 Dy2 In1 Se6'
_cell_length_a 7.304
_cell_length_b 7.304
_cell_length_c 8.373
_cell_angle_alpha 98.37
_cell_angle_beta 98.37
_cell_angle_gamma 119.99
_space_group_name_H-M_alt 'P 1'
_space_group_IT_number 1
loop_
_space_group_symop_operation_xyz
'x,y,z'
loop_
_atom_site_label
_atom_site_fract_x
_atom_site_fract_y
_atom_site_fract_z
_atom_site_occupancy
Se1 0.737 0.737 0.194 1
Se2 0.393 0.065 0.194 1
Se3 0.607 0.935 0.806 1
Se4 0.065 0.393 0.194 1
Se5 0.935 0.607 0.806 1
Se6 0.263 0.263 0.806 1
Rb1 0.832 0.168 0.500 1
Rb2 0.500 0.500 0.500 1
Rb3 0.168 0.832 0.500 1
Dy1 0.667 0.333 0.000 1
Dy2 0.333 0.667 0.000 1
In1 0.000 0.000 0.000 1
```

Entry 3:
This record from Alexandria describes LiZr2Sc after structural relaxation. The functional is GGA-PBE.

Computed properties:
- SG: R-3m (166)
- E_tot: -6.198 eV per atom

The structure in CIF format:
```
data_LiZr2Sc
_chemical_formula_sum 'Li1 Zr2 Sc1'
_cell_length_a 11.055
_cell_length_b 11.055
_cell_length_c 11.055
_cell_angle_alpha 16.09
_cell_angle_beta 16.09
_cell_angle_gamma 16.09
_space_group_name_H-M_alt 'P 1'
_space_group_IT_number 1
loop_
_space_group_symop_operation_xyz
'x,y,z'
loop_
_atom_site_label
_atom_site_fract_x
_atom_site_fract_y
_atom_site_fract_z
_atom_site_occupancy
Zr1 0.498 0.498 0.498 1
Zr2 0.002 0.002 0.002 1
Sc1 0.750 0.750 0.750 1
Li1 0.250 0.250 0.250 1
```